P:
A plane-wave DFT calculation with GGA-PBE was carried out for a relaxed structure of Pm4Ho5Mg.

Lattice parameters (Å, degrees): 3.6027 3.6027 24.3296 90.00 90.00 90.00
Element x y z (fractional)
Pm (0.0000, 0.0000, 0.1035)
Pm (0.0000, 0.0000, 0.3111)
Pm (0.0000, 0.0000, 0.6889)
Pm (0.0000, 0.0000, 0.8965)
Ho (0.5000, 0.5000, 0.0000)
Ho (0.5000, 0.5000, 0.2072)
Ho (0.5000, 0.5000, 0.4127)
Ho (0.5000, 0.5000, 0.5873)
Ho (0.5000, 0.5000, 0.7928)
Mg (0.0000, 0.0000, 0.5000)

Properties
The total magnetic moment comes out at 0.00 μB/atom. For the density of states at the Fermi level, the calculation gives 13.38 states/eV/cell.



Q:
A plane-wave DFT calculation with GGA-PBE was carried out for a relaxed structure of Pm4Ho5Mg.

Lattice parameters (Å, degrees): 8.0947 8.0947 8.0947 97.26 97.26 138.37
Element x y z (fractional)
Pm (0.0000, 0.3177, 0.3177)
Pm (0.0000, 0.6823, 0.6823)
Pm (0.3177, 0.0000, 0.3177)
Pm (0.6823, 0.0000, 0.6823)
Ho (0.2025, 0.2025, 0.0000)
Ho (0.3036, 0.3036, 0.6299)
Ho (0.3036, 0.6737, 0.0000)
Ho (0.6737, 0.3036, 0.0000)
Ho (0.6737, 0.6737, 0.3701)
Mg (0.7212, 0.7212, 0.0000)

Properties
The total magnetic moment comes out at 0.00 μB/atom. For the density of states at the Fermi level, the calculation gives 11.86 states/eV/cell.



Decreasing stability: P, Q



P:
A plane-wave DFT calculation with GGA-PBE was carried out for a relaxed structure of Pm3Ho4Mg.

Lattice parameters (Å, degrees): 11.3119 7.1638 6.2213 90.00 90.00 90.00
Element x y z (fractional)
Pm (0.0000, 0.1296, 0.0000)
Pm (0.2423, 0.1221, 0.6538)
Pm (0.2577, 0.8779, 0.1538)
Pm (0.5000, 0.8704, 0.5000)
Pm (0.7423, 0.8779, 0.1538)
Pm (0.7577, 0.1221, 0.6538)
Ho (0.0000, 0.3831, 0.4732)
Ho (0.0000, 0.6246, 0.9884)
Ho (0.2443, 0.6238, 0.6478)
Ho (0.2557, 0.3762, 0.1478)
Ho (0.5000, 0.3754, 0.4884)
Ho (0.5000, 0.6169, 0.9732)
Ho (0.7443, 0.3762, 0.1478)
Ho (0.7557, 0.6238, 0.6478)
Mg (0.0000, 0.8701, 0.4885)
Mg (0.5000, 0.1299, 0.9885)

Properties
The total magnetic moment comes out at 0.00 μB/atom. For the density of states at the Fermi level, the calculation gives 21.68 states/eV/cell.



Q:
A plane-wave DFT calculation with GGA-PBE was carried out for a relaxed structure of Pm3Ho4Mg.

Lattice parameters (Å, degrees): 8.7443 8.7443 8.7443 156.75 97.00 87.67
Element x y z (fractional)
Pm (0.0000, 0.0000, 0.0000)
Pm (0.2659, 0.7659, 0.5000)
Pm (0.7341, 0.2341, 0.5000)
Ho (0.1211, 0.3662, 0.7549)
Ho (0.3887, 0.6338, 0.7549)
Ho (0.6113, 0.3662, 0.2451)
Ho (0.8789, 0.6338, 0.2451)
Mg (0.5000, 0.5000, 0.0000)

Properties
The total magnetic moment comes out at 0.00 μB/atom. For the density of states at the Fermi level, the calculation gives 10.78 states/eV/cell.



Decreasing stability: P, Q



P:
A plane-wave DFT calculation with GGA-PBE was carried out for a relaxed structure of PmHo3Mg.

Lattice parameters (Å, degrees): 9.8962 9.8962 6.4966 100.97 100.97 81.28
Element x y z (fractional)
Pm (0.0240, 0.1776, 0.4478)
Pm (0.1776, 0.0240, 0.9478)
Pm (0.8224, 0.9760, 0.0522)
Pm (0.9760, 0.8224, 0.5522)
Ho (0.0955, 0.7085, 0.0428)
Ho (0.1228, 0.4904, 0.3608)
Ho (0.2210, 0.3713, 0.8536)
Ho (0.2915, 0.9045, 0.4572)
Ho (0.3713, 0.2210, 0.3536)
Ho (0.4904, 0.1228, 0.8608)
Ho (0.5096, 0.8772, 0.1392)
Ho (0.6287, 0.7790, 0.6464)
Ho (0.7085, 0.0955, 0.5428)
Ho (0.7790, 0.6287, 0.1464)
Ho (0.8772, 0.5096, 0.6392)
Ho (0.9045, 0.2915, 0.9572)
Mg (0.3332, 0.6668, 0.7500)
Mg (0.4262, 0.5738, 0.2500)
Mg (0.5738, 0.4262, 0.7500)
Mg (0.6668, 0.3332, 0.2500)

Properties
The total magnetic moment comes out at 0.00 μB/atom. For the density of states at the Fermi level, the calculation gives 25.09 states/eV/cell.



Q:
A plane-wave DFT calculation with GGA-PBE was carried out for a relaxed structure of PmHo3Mg.

Lattice parameters (Å, degrees): 6.7227 6.7227 12.7707 93.21 93.21 31.72
Element x y z (fractional)
Pm (0.2344, 0.2344, 0.2592)
Pm (0.7656, 0.7656, 0.7408)
Ho (0.0363, 0.0363, 0.6870)
Ho (0.1503, 0.1503, 0.9413)
Ho (0.3663, 0.3663, 0.5230)
Ho (0.6337, 0.6337, 0.4770)
Ho (0.8497, 0.8497, 0.0587)
Ho (0.9637, 0.9637, 0.3130)
Mg (0.4441, 0.4441, 0.8766)
Mg (0.5559, 0.5559, 0.1234)

Properties
The total magnetic moment comes out at 0.00 μB/atom. For the density of states at the Fermi level, the calculation gives 13.41 states/eV/cell.



Decreasing stability: Q, P



P:
A plane-wave DFT calculation with GGA-PBE was carried out for a relaxed structure of PmHo8Mg2.

Lattice parameters (Å, degrees): 8.8409 8.8409 5.6389 102.15 102.15 121.07
Element x y z (fractional)
Pm (0.0000, 0.0000, 0.0000)
Ho (0.0972, 0.3213, 0.6306)
Ho (0.2144, 0.7856, 0.0000)
Ho (0.3213, 0.0972, 0.6306)
Ho (0.4078, 0.4078, 0.2034)
Ho (0.5922, 0.5922, 0.7966)
Ho (0.6787, 0.9028, 0.3694)
Ho (0.7856, 0.2144, 0.0000)
Ho (0.9028, 0.6787, 0.3694)
Mg (0.3070, 0.6930, 0.5000)
Mg (0.6930, 0.3070, 0.5000)

Properties
The total magnetic moment comes out at 0.00 μB/atom. For the density of states at the Fermi level, the calculation gives 13.58 states/eV/cell.



Q:
A plane-wave DFT calculation with GGA-PBE was carried out for a relaxed structure of PmHo8Mg2.

Lattice parameters (Å, degrees): 8.6814 8.6814 8.3184 113.40 113.40 35.43
Element x y z (fractional)
Pm (0.0000, 0.0000, 0.0000)
Ho (0.1006, 0.1006, 0.4727)
Ho (0.1882, 0.1882, 0.9508)
Ho (0.3508, 0.3508, 0.7936)
Ho (0.4449, 0.4449, 0.2644)
Ho (0.5551, 0.5551, 0.7356)
Ho (0.6492, 0.6492, 0.2064)
Ho (0.8118, 0.8118, 0.0492)
Ho (0.8994, 0.8994, 0.5273)
Mg (0.2737, 0.2737, 0.3698)
Mg (0.7263, 0.7263, 0.6302)

Properties
The total magnetic moment comes out at 0.00 μB/atom. For the density of states at the Fermi level, the calculation gives 16.08 states/eV/cell.



Decreasing stability: Q, P



P:
A plane-wave DFT calculation with GGA-PBE was carried out for a relaxed structure of Pm2Ho6Mg.

Lattice parameters (Å, degrees): 10.5359 10.5359 5.0182 90.00 90.00 90.00
Element x y z (fractional)
Pm (0.1649, 0.1649, 0.0000)
Pm (0.3351, 0.6649, 0.5000)
Pm (0.6649, 0.3351, 0.5000)
Pm (0.8351, 0.8351, 0.0000)
Ho (0.0005, 0.6659, 0.5000)
Ho (0.1659, 0.4995, 0.0000)
Ho (0.1678, 0.8322, 0.0000)
Ho (0.3322, 0.3322, 0.5000)
Ho (0.3341, 0.9995, 0.5000)
Ho (0.4995, 0.1659, 0.0000)
Ho (0.5005, 0.8341, 0.0000)
Ho (0.6659, 0.0005, 0.5000)
Ho (0.6678, 0.6678, 0.5000)
Ho (0.8322, 0.1678, 0.0000)
Ho (0.8341, 0.5005, 0.0000)
Ho (0.9995, 0.3341, 0.5000)
Mg (0.0000, 0.0000, 0.5000)
Mg (0.5000, 0.5000, 0.0000)

Properties
The total magnetic moment comes out at 0.00 μB/atom. For the density of states at the Fermi level, the calculation gives 25.51 states/eV/cell.



Q:
A plane-wave DFT calculation with GGA-PBE was carried out for a relaxed structure of Pm2Ho6Mg.

Lattice parameters (Å, degrees): 3.5463 3.5463 26.0152 90.00 90.00 120.00
Element x y z (fractional)
Pm (0.0000, 0.0000, 0.1734)
Pm (0.0000, 0.0000, 0.8266)
Ho (0.0000, 0.0000, 0.3955)
Ho (0.0000, 0.0000, 0.6045)
Ho (0.6667, 0.3333, 0.0643)
Ho (0.6667, 0.3333, 0.2885)
Ho (0.6667, 0.3333, 0.7115)
Ho (0.6667, 0.3333, 0.9357)
Mg (0.6667, 0.3333, 0.5000)

Properties
The total magnetic moment comes out at 0.00 μB/atom. For the density of states at the Fermi level, the calculation gives 14.05 states/eV/cell.



Decreasing stability: P, Q



P:
A plane-wave DFT calculation with GGA-PBE was carried out for a relaxed structure of Pm7Ho2Mg2.

Lattice parameters (Å, degrees): 8.0112 8.0112 6.1634 107.31 107.31 91.52
Element x y z (fractional)
Pm (0.0000, 0.0000, 0.0000)
Pm (0.0837, 0.5760, 0.8138)
Pm (0.4011, 0.4011, 0.1880)
Pm (0.4240, 0.9163, 0.1862)
Pm (0.5760, 0.0837, 0.8138)
Pm (0.5989, 0.5989, 0.8120)
Pm (0.9163, 0.4240, 0.1862)
Ho (0.1959, 0.8041, 0.5000)
Ho (0.8041, 0.1959, 0.5000)
Mg (0.2416, 0.2416, 0.5521)
Mg (0.7584, 0.7584, 0.4479)

Properties
The total magnetic moment comes out at 0.00 μB/atom. For the density of states at the Fermi level, the calculation gives 13.22 states/eV/cell.



Q:
A plane-wave DFT calculation with GGA-PBE was carried out for a relaxed structure of Pm7Ho2Mg2.

Lattice parameters (Å, degrees): 10.7212 10.7212 10.7212 160.72 68.12 115.39
Element x y z (fractional)
Pm (0.0000, 0.0000, 0.0000)
Pm (0.0212, 0.6964, 0.3248)
Pm (0.3361, 0.4463, 0.8898)
Pm (0.3716, 0.6964, 0.6752)
Pm (0.5495, 0.2070, 0.3425)
Pm (0.5566, 0.4463, 0.1102)
Pm (0.8645, 0.2070, 0.6575)
Ho (0.1686, 0.9514, 0.2172)
Ho (0.7342, 0.9514, 0.7828)
Mg (0.2532, 0.7532, 0.5000)
Mg (0.6987, 0.6987, 0.0000)

Properties
The total magnetic moment comes out at 0.02 μB/atom. For the density of states at the Fermi level, the calculation gives 13.79 states/eV/cell.



Decreasing stability: P, Q



P:
A plane-wave DFT calculation with GGA-PBE was carried out for a relaxed structure of Pm8HoMg2.

Lattice parameters (Å, degrees): 9.0966 9.0966 5.7983 103.15 103.15 121.11
Element x y z (fractional)
Pm (0.0973, 0.3236, 0.6394)
Pm (0.2101, 0.7899, 0.0000)
Pm (0.3236, 0.0973, 0.6394)
Pm (0.4100, 0.4100, 0.2057)
Pm (0.5900, 0.5900, 0.7943)
Pm (0.6764, 0.9027, 0.3606)
Pm (0.7899, 0.2101, 0.0000)
Pm (0.9027, 0.6764, 0.3606)
Ho (0.0000, 0.0000, 0.0000)
Mg (0.3069, 0.6931, 0.5000)
Mg (0.6931, 0.3069, 0.5000)

Properties
The total magnetic moment comes out at 0.00 μB/atom. For the density of states at the Fermi level, the calculation gives 13.36 states/eV/cell.



Q:
A plane-wave DFT calculation with GGA-PBE was carried out for a relaxed structure of Pm8HoMg2.

Lattice parameters (Å, degrees): 9.2645 9.2645 8.1830 107.79 107.79 32.19
Element x y z (fractional)
Pm (0.0494, 0.0494, 0.2338)
Pm (0.1407, 0.1407, 0.6964)
Pm (0.3163, 0.3163, 0.5661)
Pm (0.4058, 0.4058, 0.0408)
Pm (0.5942, 0.5942, 0.9592)
Pm (0.6837, 0.6837, 0.4339)
Pm (0.8593, 0.8593, 0.3036)
Pm (0.9506, 0.9506, 0.7662)
Ho (0.5000, 0.5000, 0.5000)
Mg (0.2270, 0.2270, 0.1338)
Mg (0.7730, 0.7730, 0.8662)

Properties
The total magnetic moment comes out at 0.00 μB/atom. For the density of states at the Fermi level, the calculation gives 16.27 states/eV/cell.



Decreasing stability: Q, P



P:
A plane-wave DFT calculation with GGA-PBE was carried out for a relaxed structure of Pm6HoMg.

Lattice parameters (Å, degrees): 6.7168 6.7168 6.6406 90.04 90.04 119.94
Element x y z (fractional)
Pm (0.0714, 0.4984, 0.7541)
Pm (0.0733, 0.0733, 0.2458)
Pm (0.4984, 0.0714, 0.7541)
Pm (0.5016, 0.9286, 0.2459)
Pm (0.9267, 0.9267, 0.7542)
Pm (0.9286, 0.5016, 0.2459)
Ho (0.5000, 0.5000, 0.5000)
Mg (0.5000, 0.5000, 0.0000)

Properties
The total magnetic moment comes out at 0.00 μB/atom. For the density of states at the Fermi level, the calculation gives 11.19 states/eV/cell.



Q:
A plane-wave DFT calculation with GGA-PBE was carried out for a relaxed structure of Pm6HoMg.

Lattice parameters (Å, degrees): 10.6927 10.6927 10.6927 152.47 152.47 39.32
Element x y z (fractional)
Pm (0.1212, 0.6212, 0.5000)
Pm (0.2485, 0.2485, 0.0000)
Pm (0.3788, 0.8788, 0.5000)
Pm (0.6212, 0.1212, 0.5000)
Pm (0.7515, 0.7515, 0.0000)
Pm (0.8788, 0.3788, 0.5000)
Ho (0.0000, 0.0000, 0.0000)
Mg (0.5000, 0.5000, 0.0000)

Properties
The total magnetic moment comes out at 0.00 μB/atom. For the density of states at the Fermi level, the calculation gives 10.85 states/eV/cell.



Decreasing stability: Q, P



P:
A plane-wave DFT calculation with GGA-PBE was carried out for a relaxed structure of Pm4Ho2Mg.

Lattice parameters (Å, degrees): 8.7321 8.7321 8.7321 37.73 37.73 37.73
Element x y z (fractional)
Pm (0.0678, 0.0678, 0.0678)
Pm (0.2114, 0.2114, 0.2114)
Pm (0.7886, 0.7886, 0.7886)
Pm (0.9322, 0.9322, 0.9322)
Ho (0.3580, 0.3580, 0.3580)
Ho (0.6420, 0.6420, 0.6420)
Mg (0.5000, 0.5000, 0.5000)

Properties
The total magnetic moment comes out at 0.00 μB/atom. For the density of states at the Fermi level, the calculation gives 12.85 states/eV/cell.



Q:
A plane-wave DFT calculation with GGA-PBE was carried out for a relaxed structure of Pm4Ho2Mg.

Lattice parameters (Å, degrees): 3.6121 21.5936 11.7103 90.00 101.13 90.00
Element x y z (fractional)
Pm (0.0780, 0.2179, 0.0228)
Pm (0.0780, 0.2821, 0.5228)
Pm (0.2184, 0.0606, 0.9036)
Pm (0.2184, 0.4394, 0.4036)
Pm (0.3661, 0.2028, 0.3144)
Pm (0.3661, 0.2972, 0.8144)
Pm (0.4081, 0.5037, 0.8470)
Pm (0.4081, 0.9963, 0.3470)
Pm (0.5919, 0.0037, 0.6530)
Pm (0.5919, 0.4963, 0.1530)
Pm (0.6339, 0.7028, 0.1856)
Pm (0.6339, 0.7972, 0.6856)
Pm (0.7816, 0.5606, 0.5964)
Pm (0.7816, 0.9394, 0.0964)
Pm (0.9220, 0.7179, 0.4772)
Pm (0.9220, 0.7821, 0.9772)
Ho (0.2155, 0.5944, 0.3351)
Ho (0.2155, 0.9056, 0.8351)
Ho (0.3251, 0.6679, 0.7935)
Ho (0.3251, 0.8321, 0.2935)
Ho (0.6749, 0.1679, 0.7065)
Ho (0.6749, 0.3321, 0.2065)
Ho (0.7845, 0.0944, 0.1649)
Ho (0.7845, 0.4056, 0.6649)
Mg (0.0022, 0.6085, 0.0135)
Mg (0.0022, 0.8915, 0.5135)
Mg (0.9978, 0.1085, 0.4865)
Mg (0.9978, 0.3915, 0.9865)

Properties
The total magnetic moment comes out at 0.00 μB/atom. For the density of states at the Fermi level, the calculation gives 36.04 states/eV/cell.



Decreasing stability: Q, P



P:
A plane-wave DFT calculation with GGA-PBE was carried out for a relaxed structure of PmPrHoMg.

Lattice parameters (Å, degrees): 3.6954 3.6954 9.1567 90.00 90.00 90.00
Element x y z (fractional)
Pm (0.0000, 0.0000, 0.0000)
Pr (0.5000, 0.5000, 0.2796)
Ho (0.0000, 0.0000, 0.5492)
Mg (0.5000, 0.5000, 0.7677)

Properties
The total magnetic moment comes out at 0.00 μB/atom. For the density of states at the Fermi level, the calculation gives 4.56 states/eV/cell.



Q:
A plane-wave DFT calculation with GGA-PBE was carried out for a relaxed structure of PmPrHoMg.

Lattice parameters (Å, degrees): 5.6067 5.6067 5.6067 60.00 60.00 60.00
Element x y z (fractional)
Pm (0.0000, 0.0000, 0.0000)
Pr (0.5000, 0.5000, 0.5000)
Ho (0.7500, 0.7500, 0.7500)
Mg (0.2500, 0.2500, 0.2500)

Properties
The total magnetic moment comes out at 0.00 μB/atom. For the density of states at the Fermi level, the calculation gives 4.58 states/eV/cell.



Decreasing stability: P, Q



P:
A plane-wave DFT calculation with GGA-PBE was carried out for a relaxed structure of PmSmHoMg.

Lattice parameters (Å, degrees): 5.5687 5.5687 5.5687 60.00 60.00 60.00
Element x y z (fractional)
Pm (0.0000, 0.0000, 0.0000)
Sm (0.5000, 0.5000, 0.5000)
Ho (0.7500, 0.7500, 0.7500)
Mg (0.2500, 0.2500, 0.2500)

Properties
The total magnetic moment comes out at 0.00 μB/atom. For the density of states at the Fermi level, the calculation gives 4.88 states/eV/cell.



Q:
A plane-wave DFT calculation with GGA-PBE was carried out for a relaxed structure of PmSmHoMg.

Lattice parameters (Å, degrees): 3.6531 3.6531 9.1888 90.00 90.00 90.00
Element x y z (fractional)
Pm (0.0000, 0.0000, 0.0000)
Sm (0.5000, 0.5000, 0.7251)
Ho (0.5000, 0.5000, 0.2670)
Mg (0.0000, 0.0000, 0.4905)

Properties
The total magnetic moment comes out at 0.00 μB/atom. For the density of states at the Fermi level, the calculation gives 4.38 states/eV/cell.



Decreasing stability: Q, P